Entry 1:
Ca3B4H12O3 | PBEsol | optimized geometry

abc: 5.9575 5.9575 11.6609
angles: 90.00 90.00 96.49
Fractional positions:
Ca1 0.9200 0.9200 0.4616
Ca2 0.0800 0.0800 0.9616
Ca3 0.4523 0.9886 0.2306
Ca4 0.9886 0.4523 0.2306
Ca5 0.5477 0.0114 0.7306
Ca6 0.0114 0.5477 0.7306
B1 0.0004 0.0004 0.7370
B2 0.9996 0.9996 0.2370
B3 0.4941 0.4941 0.7180
B4 0.5059 0.5059 0.2180
B5 0.0048 0.5575 0.9842
B6 0.5575 0.0048 0.9842
B7 0.9952 0.4425 0.4842
B8 0.4425 0.9952 0.4842
H1 0.6209 0.4011 0.6550
H2 0.4011 0.6209 0.6550
H3 0.3791 0.5989 0.1550
H4 0.5989 0.3791 0.1550
H5 0.3517 0.3517 0.7612
H6 0.6483 0.6483 0.2612
H7 0.5961 0.5961 0.7972
H8 0.4039 0.4039 0.2972
H9 0.8844 0.6438 0.9154
H10 0.6438 0.8844 0.9154
H11 0.1156 0.3562 0.4154
H12 0.3562 0.1156 0.4154
H13 0.0660 0.6979 0.0588
H14 0.6979 0.0660 0.0588
H15 0.9340 0.3021 0.5588
H16 0.3021 0.9340 0.5588
H17 0.8828 0.3993 0.0266
H18 0.3993 0.8828 0.0266
H19 0.1172 0.6007 0.5266
H20 0.6007 0.1172 0.5266
H21 0.1758 0.4976 0.9391
H22 0.4976 0.1758 0.9391
H23 0.8242 0.5024 0.4391
H24 0.5024 0.8242 0.4391
O1 0.8762 0.8762 0.6539
O2 0.1238 0.1238 0.1539
O3 0.9159 0.1842 0.7861
O4 0.1842 0.9159 0.7861
O5 0.0841 0.8158 0.2861
O6 0.8158 0.0841 0.2861

Summary:
* VASP energy: -0.373 Ry/atom

---

Entry 2:
CaB2H4O6 | PBEsol | optimized geometry

abc: 4.4150 6.8553 6.8553
angles: 86.42 88.83 88.83
Fractional positions:
Ca1 0.7500 0.7866 0.2134
Ca2 0.2500 0.2134 0.7866
B1 0.3118 0.7221 0.8612
B2 0.1882 0.1388 0.2779
B3 0.6882 0.2779 0.1388
B4 0.8118 0.8612 0.7221
H1 0.8749 0.4025 0.3644
H2 0.6251 0.6356 0.5975
H3 0.1251 0.5975 0.6356
H4 0.3749 0.3644 0.4025
H5 0.7252 0.0780 0.5081
H6 0.7748 0.4919 0.9220
H7 0.2748 0.9220 0.4919
H8 0.2252 0.5081 0.0780
O1 0.6242 0.7831 0.8853
O2 0.8758 0.1147 0.2169
O3 0.3758 0.2169 0.1147
O4 0.1242 0.8853 0.7831
O5 0.3057 0.5621 0.7193
O6 0.1943 0.2807 0.4379
O7 0.6943 0.4379 0.2807
O8 0.8057 0.7193 0.5621
O9 0.2017 0.6512 0.0585
O10 0.2983 0.9415 0.3488
O11 0.7983 0.3488 0.9415
O12 0.7017 0.0585 0.6512

Summary:
* VASP energy: -0.491 Ry/atom

---

Entry 3:
CaB8H4O15 | PBEsol | optimized geometry

abc: 7.4488 8.3835 9.7230
angles: 90.00 107.81 90.00
Fractional positions:
Ca1 0.9025 0.0967 0.7233
Ca2 0.0975 0.5967 0.2767
B1 0.4255 0.1341 0.4818
B2 0.8672 0.7212 0.7170
B3 0.9599 0.7555 0.9814
B4 0.0401 0.2555 0.0186
B5 0.1328 0.2212 0.2830
B6 0.5745 0.6341 0.5182
B7 0.3791 0.5285 0.8465
B8 0.6209 0.0285 0.1535
B9 0.5866 0.6219 0.2653
B10 0.4134 0.1219 0.7347
B11 0.0740 0.5065 0.9010
B12 0.9260 0.0065 0.0990
B13 0.0797 0.5078 0.6407
B14 0.9203 0.0078 0.3594
B15 0.9768 0.7635 0.5088
B16 0.0232 0.2635 0.4912
H1 0.3830 0.0941 0.1859
H2 0.6170 0.5941 0.8141
H3 0.3349 0.0838 0.9143
H4 0.6651 0.5838 0.0857
H5 0.6450 0.0802 0.9033
H6 0.3550 0.5802 0.0967
H7 0.6456 0.0563 0.4280
H8 0.3544 0.5563 0.5720
O1 0.9994 0.0786 0.2475
O2 0.9200 0.8279 0.6183
O3 0.7179 0.5956 0.1931
O4 0.8876 0.8164 0.8456
O5 0.9870 0.8421 0.1047
O6 0.0130 0.3421 0.8953
O7 0.0800 0.3279 0.3817
O8 0.2821 0.0956 0.8069
O9 0.3256 0.1604 0.3397
O10 0.6744 0.6604 0.6603
O11 0.9962 0.8486 0.3943
O12 0.0038 0.3486 0.6057
O13 0.2879 0.5049 0.7028
O14 0.7121 0.0049 0.2972
O15 0.2825 0.5170 0.9453
O16 0.7175 0.0170 0.0547
O17 0.3414 0.1537 0.5889
O18 0.6586 0.6537 0.4111
O19 0.3906 0.5846 0.4822
O20 0.6094 0.0846 0.5178
O21 0.5671 0.5667 0.8959
O22 0.4329 0.0667 0.1041
O23 0.3954 0.6185 0.2020
O24 0.6046 0.1185 0.7980
O25 0.9617 0.1086 0.4857
O26 0.0383 0.6086 0.5143
O27 0.9883 0.0981 0.9957
O28 0.0117 0.5981 0.0043
O29 0.1124 0.3164 0.1544
O30 0.0006 0.5786 0.7525

Summary:
* VASP energy: -0.560 Ry/atom

---

Entry 4:
Ca2B8H2O15 | PBEsol | optimized geometry

abc: 6.4144 9.3441 10.0927
angles: 117.09 91.25 98.83
Fractional positions:
Ca1 0.0139 0.1763 0.7160
Ca2 0.9861 0.8237 0.2840
Ca3 0.3260 0.1822 0.1713
Ca4 0.6740 0.8178 0.8287
B1 0.2485 0.9456 0.7817
B2 0.7515 0.0544 0.2183
B3 0.2653 0.5318 0.8414
B4 0.7347 0.4682 0.1586
B5 0.0821 0.4046 0.1326
B6 0.9179 0.5954 0.8674
B7 0.4370 0.8391 0.1861
B8 0.5630 0.1609 0.8139
B9 0.2908 0.7441 0.5242
B10 0.7092 0.2559 0.4758
B11 0.4221 0.6119 0.2634
B12 0.5779 0.3881 0.7366
B13 0.2273 0.8276 0.9694
B14 0.7727 0.1724 0.0306
B15 0.0694 0.1900 0.4213
B16 0.9306 0.8100 0.5787
H1 0.3296 0.1441 0.5068
H2 0.6704 0.8559 0.4932
H3 0.3482 0.3525 0.4883
H4 0.6518 0.6475 0.5117
O1 0.3618 0.4009 0.7779
O2 0.6382 0.5991 0.2221
O3 0.0275 0.9227 0.7297
O4 0.9725 0.0773 0.2703
O5 0.1774 0.0947 0.4809
O6 0.8226 0.9053 0.5191
O7 0.9968 0.7599 0.9392
O8 0.0032 0.2401 0.0608
O9 0.2945 0.9048 0.1329
O10 0.7055 0.0952 0.8671
O11 0.3364 0.7231 0.2216
O12 0.6636 0.2769 0.7784
O13 0.2897 0.4488 0.1855
O14 0.7103 0.5512 0.8145
O15 0.2798 0.9560 0.9285
O16 0.7202 0.0440 0.0715
O17 0.3509 0.6930 0.8914
O18 0.6491 0.3070 0.1086
O19 0.0493 0.4840 0.8476
O20 0.9507 0.5160 0.1524
O21 0.2228 0.3171 0.4137
O22 0.7772 0.6829 0.5863
O23 0.4374 0.6768 0.4271
O24 0.5626 0.3232 0.5729
O25 0.0924 0.7468 0.4735
O26 0.9076 0.2532 0.5265
O27 0.3491 0.1068 0.7902
O28 0.6509 0.8932 0.2098
O29 0.3586 0.8167 0.6746
O30 0.6414 0.1833 0.3254

Summary:
* VASP energy: -0.579 Ry/atom

---

Entry 5:
CaB3HO6 | PBEsol | optimized geometry

abc: 4.3946 6.9160 13.4732
angles: 90.00 90.00 90.00
Fractional positions:
Ca1 0.0965 0.7052 0.9055
Ca2 0.5965 0.2948 0.0945
Ca3 0.5965 0.2052 0.5945
Ca4 0.0965 0.7948 0.4055
B1 0.5691 0.7906 0.0707
B2 0.0691 0.2094 0.9293
B3 0.0691 0.2906 0.4293
B4 0.5691 0.7094 0.5707
B5 0.7639 0.5929 0.7314
B6 0.2639 0.4071 0.2686
B7 0.2639 0.0929 0.7686
B8 0.7639 0.9071 0.2314
B9 0.0477 0.6571 0.1434
B10 0.5477 0.3429 0.8566
B11 0.5477 0.1571 0.3566
B12 0.0477 0.8429 0.6434
H1 0.6350 0.9907 0.9528
H2 0.1350 0.0093 0.0472
H3 0.1350 0.4907 0.5472
H4 0.6350 0.5093 0.4528
O1 0.2524 0.3794 0.9042
O2 0.7524 0.6206 0.0958
O3 0.7524 0.8794 0.5958
O4 0.2524 0.1206 0.4042
O5 0.2425 0.7502 0.0694
O6 0.7425 0.2498 0.9306
O7 0.7425 0.2502 0.4306
O8 0.2425 0.7498 0.5694
O9 0.1259 0.0467 0.8570
O10 0.6259 0.9533 0.1430
O11 0.6259 0.5467 0.6430
O12 0.1259 0.4533 0.3570
O13 0.6830 0.5266 0.8239
O14 0.1830 0.4734 0.1761
O15 0.1830 0.0266 0.6761
O16 0.6830 0.9734 0.3239
O17 0.6454 0.8500 0.9675
O18 0.1454 0.1500 0.0325
O19 0.1454 0.3500 0.5325
O20 0.6454 0.6500 0.4675
O21 0.0029 0.7213 0.7328
O22 0.5029 0.2787 0.2672
O23 0.5029 0.2213 0.7672
O24 0.0029 0.7787 0.2328

Summary:
* VASP energy: -0.570 Ry/atom

---

Entry 6:
Ca2B3H13O13 | PBEsol | optimized geometry

abc: 7.1216 7.8925 9.7298
angles: 107.87 110.51 94.96
Fractional positions:
Ca1 0.7402 0.9174 0.9640
Ca2 0.2598 0.0826 0.0360
Ca3 0.5809 0.8890 0.3312
Ca4 0.4191 0.1110 0.6688
B1 0.3645 0.7157 0.9752
B2 0.6355 0.2843 0.0248
B3 0.3112 0.7588 0.7095
B4 0.6888 0.2412 0.2905
B5 0.1336 0.4666 0.7099
B6 0.8664 0.5334 0.2901
H1 0.6346 0.6263 0.0882
H2 0.3654 0.3737 0.9118
H3 0.1287 0.7477 0.0541
H4 0.8713 0.2523 0.9459
H5 0.5078 0.7422 0.5879
H6 0.4922 0.2578 0.4121
H7 0.0818 0.9005 0.7085
H8 0.9182 0.0995 0.2915
H9 0.0133 0.2221 0.5286
H10 0.9867 0.7779 0.4714
H11 0.8645 0.5025 0.5667
H12 0.1355 0.4975 0.4333
H13 0.9338 0.7833 0.7733
H14 0.0662 0.2167 0.2267
H15 0.8905 0.5720 0.8552
H16 0.1095 0.4280 0.1448
H17 0.8373 0.5632 0.0062
H18 0.1627 0.4368 0.9938
H19 0.8122 0.9860 0.6915
H20 0.1878 0.0140 0.3085
H21 0.8625 0.1425 0.6314
H22 0.1375 0.8575 0.3686
H23 0.3433 0.5711 0.3531
H24 0.6567 0.4289 0.6469
H25 0.5820 0.5453 0.3794
H26 0.4180 0.4547 0.6206
O1 0.5830 0.7390 0.0755
O2 0.4170 0.2610 0.9245
O3 0.2777 0.8029 0.0904
O4 0.7223 0.1971 0.9096
O5 0.3616 0.8271 0.8786
O6 0.6384 0.1729 0.1214
O7 0.5011 0.8153 0.6895
O8 0.4989 0.1847 0.3105
O9 0.1639 0.8637 0.6412
O10 0.8361 0.1363 0.3588
O11 0.2414 0.5594 0.6371
O12 0.7586 0.4406 0.3629
O13 0.1136 0.2697 0.6433
O14 0.8864 0.7303 0.3567
O15 0.9271 0.5181 0.6815
O16 0.0729 0.4819 0.3185
O17 0.2526 0.5266 0.8818
O18 0.7474 0.4734 0.1182
O19 0.9504 0.9172 0.8168
O20 0.0496 0.0828 0.1832
O21 0.8818 0.6446 0.9562
O22 0.1182 0.3554 0.0438
O23 0.7445 0.0471 0.6106
O24 0.2555 0.9529 0.3894
O25 0.4894 0.6357 0.3983
O26 0.5106 0.3643 0.6017

Summary:
* VASP energy: -0.450 Ry/atom